The following is a DFT calculation (PBE+U) of a relaxed structure of MnPb2O3.

Output
For the magnetization, the calculation gives 5.000 μB per formula unit. The final energy comes out at -6.08 eV per atom.

Unit cell a=6.0915 b=6.0915 c=6.2930 alpha=104.94 beta=104.94 gamma=64.22
With the nearest neighbours (Å) after each atom.
Fractional coordinates of all 12 atoms:
Mn 0.1113 0.8887 0.7500  3 O 2.08-2.11
Mn 0.8887 0.1113 0.2500  3 O 2.08-2.11
Pb 0.1749 0.4979 0.2765  3 O 2.29-2.44
Pb 0.4979 0.1749 0.7765  3 O 2.29-2.44
Pb 0.5021 0.8251 0.2235  3 O 2.29-2.44
Pb 0.8251 0.5021 0.7235  3 O 2.29-2.44
O 0.0255 0.2235 0.9783  1 Mn 2.11, 1 Pb 2.35
O 0.2235 0.0255 0.4783  1 Mn 2.11, 1 Pb 2.35
O 0.4320 0.5680 0.7500  1 Mn 2.08, 2 Pb 2.29
O 0.5680 0.4320 0.2500  1 Mn 2.08, 2 Pb 2.29
O 0.7765 0.9745 0.5217  1 Mn 2.11, 1 Pb 2.35
O 0.9745 0.7765 0.0217  1 Mn 2.11, 1 Pb 2.35